This record from Alexandria via LeMat-Bulk describes a geometry-optimized BeFeSi2 structure. The functional is GGA-PBE.

Values from the calculation:
symmetry = P4/mmm
final energy = -5.76 eV/atom
energy relative to the elements, uncorrected = 3.3 meV per atom

Geometry as POSCAR:
```
BeFeSi2
1.0
3.535 0.000 0.000
0.000 3.535 0.000
0.000 0.000 3.392
Be Fe Si
1 1 2
Direct
0.000 0.000 0.000
0.500 0.500 0.000
0.000 0.500 0.500
0.500 0.000 0.500
```